[1]
A relaxed structure of Tb2YSn5Pb2. Source: OQMD via LeMat-Bulk, functional PBE-GGA.

Offset from the most stable computed form   0 meV/atom
Total energy   -48.03 eV/cell
Calculated density   8.768 g cm⁻³
V   268 Å³/f.u.

Cell and atoms, written as POSCAR:
```
Tb2YSn5Pb2
1.0
2.205 -13.316 0.000
2.205 13.316 0.000
0.000 0.000 4.563
Pb Sn Tb Y
2 5 2 1
Direct
0.902 0.098 0.000 Pb
0.098 0.902 0.000 Pb
0.711 0.289 0.000 Sn
0.289 0.711 0.000 Sn
0.000 0.000 0.500 Sn
0.596 0.404 0.500 Sn
0.404 0.596 0.500 Sn
0.809 0.191 0.500 Tb
0.191 0.809 0.500 Tb
0.500 0.500 0.000 Y
```


[2]
A relaxed structure of HfTlAuSe3. Source: OQMD via LeMat-Bulk, functional PBE-GGA.

Offset from the most stable computed form   19 meV/atom
Total energy   -122.32 eV/cell
Calculated density   8.423 g cm⁻³
V   161 Å³/f.u.

Cell and atoms, written as POSCAR:
```
HfTlAuSe3
1.0
10.427 0.000 0.000
0.000 3.948 0.000
0.000 0.000 15.643
Au Hf Se Tl
4 4 12 4
Direct
0.787 0.250 0.160 Au
0.287 0.250 0.340 Au
0.713 0.750 0.660 Au
0.213 0.750 0.840 Au
0.351 0.250 0.044 Hf
0.851 0.250 0.456 Hf
0.149 0.750 0.544 Hf
0.649 0.750 0.956 Hf
0.814 0.250 0.003 Se
0.509 0.750 0.102 Se
0.230 0.250 0.189 Se
0.730 0.250 0.311 Se
0.009 0.750 0.398 Se
0.314 0.250 0.497 Se
0.686 0.750 0.503 Se
0.991 0.250 0.602 Se
0.270 0.750 0.689 Se
0.770 0.750 0.811 Se
0.491 0.250 0.898 Se
0.186 0.750 0.997 Se
0.005 0.750 0.189 Tl
0.505 0.750 0.311 Tl
0.495 0.250 0.689 Tl
0.995 0.250 0.811 Tl
```


[3]
A relaxed structure of Tb12Co6Sn. Source: OQMD via LeMat-Bulk, functional PBE-GGA.

Total energy   -107.45 eV/cell
Calculated density   8.680 g cm⁻³
V   455 Å³/f.u.

Cell and atoms, written as POSCAR:
```
Tb12Co6Sn
1.0
6.921 4.332 -1.946
-4.954 4.690 4.890
2.144 -7.008 4.091
Co Sn Tb
6 1 12
Direct
0.500 0.613 0.113 Co
0.887 0.500 0.387 Co
0.613 0.113 0.500 Co
0.387 0.887 0.500 Co
0.113 0.500 0.613 Co
0.500 0.387 0.887 Co
0.000 0.000 0.000 Sn
0.304 0.806 0.109 Tb
0.498 0.304 0.194 Tb
0.891 0.696 0.194 Tb
0.806 0.109 0.304 Tb
0.194 0.498 0.304 Tb
0.304 0.194 0.498 Tb
0.696 0.806 0.502 Tb
0.194 0.891 0.696 Tb
0.806 0.502 0.696 Tb
0.109 0.304 0.806 Tb
0.502 0.696 0.806 Tb
0.696 0.194 0.891 Tb
```


[4]
A relaxed structure of Li4In2HgAu. Source: OQMD via LeMat-Bulk, functional PBE-GGA.

Total energy   -19.89 eV/cell
Calculated density   7.560 g cm⁻³
V   144 Å³/f.u.

Cell and atoms, written as POSCAR:
```
Li4In2HgAu
1.0
4.660 0.000 0.000
0.000 4.660 0.000
0.000 0.000 6.624
Au Hg In Li
1 1 2 4
Direct
0.000 0.000 0.000 Au
0.500 0.500 0.500 Hg
0.000 0.500 0.237 In
0.500 0.000 0.763 In
0.500 0.500 0.000 Li
0.500 0.000 0.240 Li
0.000 0.000 0.500 Li
0.000 0.500 0.760 Li
```


Repeat the third record exactly.
A relaxed structure of Tb12Co6Sn. Source: OQMD via LeMat-Bulk, functional PBE-GGA.

Total energy   -107.45 eV/cell
Calculated density   8.680 g cm⁻³
V   455 Å³/f.u.

Cell and atoms, written as POSCAR:
```
Tb12Co6Sn
1.0
6.921 4.332 -1.946
-4.954 4.690 4.890
2.144 -7.008 4.091
Co Sn Tb
6 1 12
Direct
0.500 0.613 0.113 Co
0.887 0.500 0.387 Co
0.613 0.113 0.500 Co
0.387 0.887 0.500 Co
0.113 0.500 0.613 Co
0.500 0.387 0.887 Co
0.000 0.000 0.000 Sn
0.304 0.806 0.109 Tb
0.498 0.304 0.194 Tb
0.891 0.696 0.194 Tb
0.806 0.109 0.304 Tb
0.194 0.498 0.304 Tb
0.304 0.194 0.498 Tb
0.696 0.806 0.502 Tb
0.194 0.891 0.696 Tb
0.806 0.502 0.696 Tb
0.109 0.304 0.806 Tb
0.502 0.696 0.806 Tb
0.696 0.194 0.891 Tb
```


Question: Which value of total energy does entry 4 give?
Answer: -19.89 eV/cell